# 1
Material: TbGa4Pd
Method: DFT, PBE
State: relaxed

The space group is Immm (No. 71) and the conventional cell measures 4.1726, 6.6109 and 8.2274 Å, with angles of 90.00, 90.00 and 90.00 degrees. The asymmetric unit holds Tb at (0.0000, 0.0000, 0.0000), Ga at (0.0000, 0.2014, 0.3412) and Pd at (0.0000, 0.5000, 0.0000).

Its formation enthalpy at 0 K is -0.41 eV per atom.

# 2
Material: Tb2Ga7Pd12
Method: DFT, PBE
State: relaxed

The space group is P-3 (No. 147) and the conventional cell measures 10.2838, 10.2838 and 3.8935 Å, with angles of 90.00, 90.00 and 120.00 degrees. The asymmetric unit holds Tb at (0.3333, 0.6667, 0.2429), Ga at (0.0000, 0.0000, 0.5000), Ga at (0.1151, 0.7112, 0.7461), Pd at (0.0650, 0.4447, 0.7507) and Pd at (0.1169, 0.2600, 0.2446).

Its formation enthalpy at 0 K is -0.72 eV per atom.

# 3
Material: TbGa7Pd5
Method: DFT, PBE
State: relaxed

The space group is Imm2 (No. 44) and the conventional cell measures 5.5181, 9.1922 and 8.6267 Å, with angles of 90.00, 90.00 and 90.00 degrees. The asymmetric unit holds Tb at (0.0000, 0.0000, 0.0000), Ga at (0.0000, 0.0000, 0.3436), Ga at (0.0000, 0.0000, 0.6352), Ga at (0.0000, 0.3084, 0.5131), Ga at (0.0000, 0.3436, 0.9867), Ga at (0.0000, 0.5000, 0.2624), Pd at (0.0000, 0.5000, 0.7319) and Pd at (0.2490, 0.2703, 0.2536).

Its formation enthalpy at 0 K is -0.60 eV per atom.

# 4
Material: TbGa3Pd2
Method: DFT, PBE
State: relaxed

The space group is Cmcm (No. 63) and the conventional cell measures 9.4476, 8.1575 and 5.6614 Å, with angles of 90.00, 90.00 and 90.00 degrees. The asymmetric unit holds Tb at (0.0000, 0.1536, 0.2500), Ga at (0.0000, 0.4778, 0.7500), Ga at (0.1541, 0.2180, 0.7500) and Pd at (0.2281, 0.5000, 0.0000).

Its formation enthalpy at 0 K is -0.68 eV per atom.

# 5
Material: Tb5Ga4Pd
Method: DFT, PBE
State: relaxed

The space group is P4/mmm (No. 123) and the conventional cell measures 3.5709, 3.5709 and 17.9182 Å, with angles of 90.00, 90.00 and 90.00 degrees. The asymmetric unit holds Tb at (0.0000, 0.0000, 0.0000), Tb at (0.0000, 0.0000, 0.2016), Tb at (0.0000, 0.0000, 0.4038), Ga at (0.5000, 0.5000, 0.1001), Ga at (0.5000, 0.5000, 0.3016) and Pd at (0.5000, 0.5000, 0.5000).

Its formation enthalpy at 0 K is -0.64 eV per atom.

# 6
Material: TbGa3Pd
Method: DFT, PBE
State: relaxed

The space group is Cm (No. 8) and the conventional cell measures 5.9538, 5.9568 and 6.1660 Å, with angles of 90.00, 118.86 and 90.00 degrees. The asymmetric unit holds Tb at (0.0000, 0.0000, 0.0000), Ga at (0.0853, 0.5000, 0.1720), Ga at (0.4845, 0.2497, 0.4711) and Pd at (0.3592, 0.0000, 0.7211).

Its formation enthalpy at 0 K is -0.67 eV per atom.

# 7
Material: Tb4GaPd2
Method: DFT, PBE
State: relaxed

The space group is R-3m (No. 166, hexagonal axes) and the conventional cell measures 4.9790, 4.9790 and 24.3124 Å, with angles of 90.00, 90.00 and 120.00 degrees. The asymmetric unit holds Tb at (0.0000, 0.0000, 0.1213), Tb at (0.0000, 0.0000, 0.3729), Ga at (0.0000, 0.0000, 0.5000) and Pd at (0.0000, 0.0000, 0.2497).

Its formation enthalpy at 0 K is -0.61 eV per atom.

# 8
Material: Tb7Ga2Pd2
Method: DFT, PBE
State: relaxed

The space group is Cmmm (No. 65) and the conventional cell measures 7.8707, 10.9379 and 7.0601 Å, with angles of 90.00, 90.00 and 90.00 degrees. The asymmetric unit holds Tb at (0.0000, 0.0000, 0.0000), Tb at (0.0000, 0.5000, 0.2610), Tb at (0.2500, 0.2500, 0.2656), Ga at (0.1652, 0.0000, 0.5000) and Pd at (0.0000, 0.2935, 0.0000).

Its formation enthalpy at 0 K is -0.36 eV per atom.